(1)
VASP calculation (PBE) on an optimized crystal structure of La2YTe5Au.

Unit cell a=9.861 b=9.861 c=13.278 alpha=90.00 beta=90.00 gamma=154.13
Sites, in units of the cell vectors:
La  0.114  0.886  0.500
La  0.123  0.877  0.121
La  0.877  0.123  0.621
La  0.886  0.114  0.000
Y  0.189  0.811  0.821
Y  0.811  0.189  0.321
Te  0.040  0.960  0.882
Te  0.290  0.710  0.482
Te  0.304  0.696  0.153
Te  0.354  0.646  0.813
Te  0.500  0.500  0.087
Te  0.500  0.500  0.587
Te  0.646  0.354  0.313
Te  0.696  0.304  0.653
Te  0.710  0.290  0.982
Te  0.960  0.040  0.382
Au  0.427  0.573  0.268
Au  0.573  0.427  0.768

The value obtained for the energy relative to the elements, uncorrected is -1300 meV/atom. The density of states at the Fermi level is 0.174 states/eV/f.u. The value obtained for the size of the total moment is 0.000 μB/f.u. The calculation puts the total DFT energy (no corrections) at -5.223 eV per atom.



(2)
VASP calculation (PBE) on an optimized crystal structure of MnNb3Ru4.

Unit cell a=3.280 b=4.363 c=8.739 alpha=90.00 beta=90.00 gamma=90.00
Sites, in units of the cell vectors:
Mn  0.000  0.000  0.000
Nb  0.000  0.000  0.500
Nb  0.000  0.500  0.237
Nb  0.000  0.500  0.763
Ru  0.500  0.000  0.252
Ru  0.500  0.000  0.748
Ru  0.500  0.500  0.000
Ru  0.500  0.500  0.500

The density of states at the Fermi level is 4.996 states/eV/f.u. The value obtained for the size of the total moment is 4.486 μB/f.u. The calculation puts the total DFT energy (no corrections) at -9.754 eV per atom. The formation energy comes out at -0.194 eV/atom.



(3)
VASP calculation (PBE) on an optimized crystal structure of Pu2Zn5Au5.

Unit cell a=4.518 b=5.332 c=9.492 alpha=90.00 beta=90.00 gamma=90.00
Sites, in units of the cell vectors:
Pu  0.000  0.000  0.000
Pu  0.000  0.500  0.500
Zn  0.500  0.000  0.500
Zn  0.500  0.254  0.258
Zn  0.500  0.254  0.742
Zn  0.500  0.746  0.258
Zn  0.500  0.746  0.742
Au  0.000  0.000  0.333
Au  0.000  0.000  0.667
Au  0.000  0.500  0.178
Au  0.000  0.500  0.822
Au  0.500  0.500  0.000

The density of states at the Fermi level is 28.023 states/eV/f.u. The value obtained for the size of the total moment is 0.112 μB/f.u. The calculation puts the total DFT energy (no corrections) at -4.184 eV per atom. The formation energy comes out at 0.101 eV/atom.



(4)
VASP calculation (PBE) on an optimized crystal structure of CaHoAlZn.

Unit cell a=5.135 b=5.135 c=5.135 alpha=60.00 beta=60.00 gamma=60.00
Sites, in units of the cell vectors:
Ca  0.000  0.000  0.000
Ho  0.500  0.500  0.500
Al  0.250  0.250  0.250
Zn  0.750  0.750  0.750

The density of states at the Fermi level is 1.964 states/eV/f.u. The value obtained for the size of the total moment is 0.000 μB/f.u. The calculation puts the total DFT energy (no corrections) at -3.189 eV per atom. The formation energy comes out at -0.290 eV/atom. As for the relative energy among the computed polymorphs: 7 meV/atom.



(5)
VASP calculation (PBE) on an optimized crystal structure of NaDy2Cd.

Unit cell a=5.328 b=5.328 c=3.918 alpha=90.00 beta=90.00 gamma=90.00
Sites, in units of the cell vectors:
Na  0.000  0.000  0.000
Dy  0.000  0.500  0.500
Dy  0.500  0.000  0.500
Cd  0.500  0.500  0.000

The density of states at the Fermi level is 3.892 states/eV/f.u. The value obtained for the size of the total moment is 0.000 μB/f.u. The calculation puts the total DFT energy (no corrections) at -2.811 eV per atom. The formation energy comes out at 0.048 eV/atom. As for the relative energy among the computed polymorphs: 13 meV/atom.



(6)
VASP calculation (PBE) on an optimized crystal structure of YReC2.

Unit cell a=5.786 b=5.786 c=5.786 alpha=32.40 beta=32.40 gamma=32.40
Sites, in units of the cell vectors:
Y  0.000  0.000  0.000
Re  0.500  0.500  0.500
C  0.237  0.237  0.237
C  0.763  0.763  0.763

The density of states at the Fermi level is 0.692 states/eV/f.u. The value obtained for the size of the total moment is 0.000 μB/f.u. The calculation puts the total DFT energy (no corrections) at -9.286 eV per atom. The formation energy comes out at 0.054 eV/atom. As for the relative energy among the computed polymorphs: 220 meV/atom.



(7)
VASP calculation (PBE) on an optimized crystal structure of NaLi2NbIr.

Unit cell a=3.943 b=3.943 c=5.105 alpha=90.00 beta=90.00 gamma=90.00
Sites, in units of the cell vectors:
Na  0.000  0.000  0.000
Li  0.000  0.500  0.000
Li  0.500  0.000  0.000
Nb  0.500  0.500  0.500
Ir  0.000  0.000  0.500

The density of states at the Fermi level is 2.398 states/eV/f.u. The value obtained for the size of the total moment is 0.000 μB/f.u. The calculation puts the total DFT energy (no corrections) at -4.042 eV per atom. The formation energy comes out at 0.773 eV/atom.



(8)
VASP calculation (PBE) on an optimized crystal structure of LaYH3.

Unit cell a=4.238 b=4.238 c=4.238 alpha=90.00 beta=90.00 gamma=90.00
Sites, in units of the cell vectors:
La  0.000  0.000  0.000
Y  0.500  0.500  0.500
H  0.000  0.500  0.500
H  0.500  0.000  0.500
H  0.500  0.500  0.000

The density of states at the Fermi level is 2.203 states/eV/f.u. The value obtained for the size of the total moment is 1.489 μB/f.u. The calculation puts the total DFT energy (no corrections) at -4.602 eV per atom. As for the relative energy among the computed polymorphs: 0 meV/atom.



total DFT energy (no corrections) of number 5 (NaDy2Cd)? -2.811 eV per atom



What is the total DFT energy (no corrections) in the first record? -5.223 eV per atom